A plane-wave DFT calculation with PBE was carried out for crystalline TmAl4Ag6 at its relaxed geometry.

Summary:
Excess energy over the best structure of this formula in the dataset, eV per atom: 0.110

Cell: 6.666 6.666 9.874 Å, 90.00 90.00 90.00°
Space group I-42m (No. 121)
Asymmetric unit:
Tm1 0.000 0.000 0.000 [2 per cell]
Al1 0.161 0.161 0.584 [8 per cell]
Ag1 0.000 0.500 0.000 [4 per cell]
Ag2 0.207 0.207 0.306 [8 per cell]


A plane-wave DFT calculation with PBE was carried out for crystalline K2Rb2Ba at its relaxed geometry.

Summary:
Excess energy over the best structure of this formula in the dataset, eV per atom: 0.101

Cell: 7.157 7.157 15.610 Å, 90.00 90.00 90.00°
Space group I4/mmm (No. 139)
Asymmetric unit:
K1 0.000 0.500 0.250 [4 per cell]
Rb1 0.000 0.000 0.122 [4 per cell]
Ba1 0.000 0.000 0.500 [2 per cell]


A plane-wave DFT calculation with PBE was carried out for crystalline SrMn2Re at its relaxed geometry.

Summary:
Excess energy over the best structure of this formula in the dataset, eV per atom: 0.347

Cell: 3.0091 3.0091 28.6470 Å, 90.00 90.00 120.00°
Space group R-3m (No. 166, hexagonal axes)
Asymmetric unit:
Sr1 0.0000 0.0000 0.0000 [3 per cell]
Mn1 0.0000 0.0000 0.2348 [6 per cell]
Re1 0.0000 0.0000 0.5000 [3 per cell]


A plane-wave DFT calculation with PBE was carried out for crystalline Sm2ZrGa3Ir4 at its relaxed geometry.

Summary:
Electronic total energy, eV per atom: -6.992

Cell: 4.204 4.204 11.037 Å, 90.00 90.00 90.00°
Space group P-4m2 (No. 115)
Asymmetric unit:
Sm1 0.000 0.500 0.225 [2 per cell]
Zr1 0.000 0.000 0.500 [1 per cell]
Ga1 0.000 0.500 0.877 [2 per cell]
Ga2 0.500 0.500 0.500 [1 per cell]
Ir1 0.000 0.000 0.000 [1 per cell]
Ir2 0.000 0.500 0.649 [2 per cell]
Ir3 0.500 0.500 0.000 [1 per cell]


A plane-wave DFT calculation with PBE was carried out for crystalline NbTlTeN2 at its relaxed geometry.

Summary:
Energy relative to the elements, uncorrected, eV per formula unit: 10.51
Excess energy over the best structure of this formula in the dataset, eV per atom: 1.771

Cell: 4.176 4.176 5.972 Å, 90.00 90.00 90.00°
Space group P4/mmm (No. 123)
Asymmetric unit:
Nb1 0.000 0.000 0.000 [1 per cell]
Tl1 0.500 0.500 0.500 [1 per cell]
Te1 0.500 0.500 0.000 [1 per cell]
N1 0.000 0.500 0.500 [2 per cell]


A plane-wave DFT calculation with PBE was carried out for crystalline Na2H3Rh at its relaxed geometry.

Summary:
Excess energy over the best structure of this formula in the dataset, eV per atom: 0.026

Cell: 2.970 3.684 15.289 Å, 90.00 90.00 90.00°
Space group Immm (No. 71)
Asymmetric unit:
Na1 0.000 0.000 0.135 [4 per cell]
H1 0.000 0.500 0.065 [4 per cell]
H2 0.000 0.500 0.500 [2 per cell]
Rh1 0.000 0.000 0.500 [2 per cell]


Number 1: spin magnetization 0.00 μB per formula unit. Number 2: spin magnetization 0.01 μB per formula unit. Number 3: spin magnetization 6.20 μB per formula unit. Number 4: spin magnetization 0.00 μB per formula unit. Number 5: spin magnetization 0.00 μB per formula unit. Number 6: spin magnetization 0.00 μB per formula unit.